(1)
Entry from Alexandria via LeMat-Bulk: a geometry-optimized Pu2NiB2Rh5 structure (PBE).

Total magnetization, μB per formula unit: 8.3
ΔH_f (0 K), kJ per mole of atoms: -38.9

Structure (CIF):
```
data_Pu2NiB2Rh5
_symmetry_space_group_name_H-M 'P 4/m b m'
_symmetry_Int_Tables_number 127
_symmetry_space_group_name_Hall '-P 4 2ab'
_cell_length_a 9.384
_cell_length_b 9.384
_cell_length_c 3.269
_cell_angle_alpha 90.00
_cell_angle_beta 90.00
_cell_angle_gamma 90.00
loop_
_atom_site_label
_atom_site_type_symbol
_atom_site_fract_x
_atom_site_fract_y
_atom_site_fract_z
Pu1 Pu 0.178 0.322 0.000
Ni1 Ni 0.000 0.000 0.000
B1 B 0.123 0.623 0.000
Rh1 Rh 0.000 0.500 0.500
Rh2 Rh 0.070 0.782 0.500
```

***

(2)
Entry from Alexandria via LeMat-Bulk: a geometry-optimized La6Dy2ErSc structure (PBE).

Total magnetization, μB per formula unit: 0.0
ΔH_f (0 K), kJ per mole of atoms: 18.2

Structure (CIF):
```
data_La6Dy2ErSc
_symmetry_space_group_name_H-M 'C 1 2/m 1'
_symmetry_Int_Tables_number 12
_cell_length_a 11.483
_cell_length_b 7.078
_cell_length_c 8.908
_cell_angle_alpha 90.00
_cell_angle_beta 107.17
_cell_angle_gamma 90.00
loop_
_symmetry_equiv_pos_as_xyz
'x,y,z'
'-x,-y,-z'
'-x,y,-z'
'x,-y,z'
'x+1/2,y+1/2,z'
'-x+1/2,-y+1/2,-z'
'-x+1/2,y+1/2,-z'
'x+1/2,-y+1/2,z'
loop_
_atom_site_label
_atom_site_type_symbol
_atom_site_fract_x
_atom_site_fract_y
_atom_site_fract_z
La1 La 0.133 0.000 0.427
La2 La 0.179 0.275 0.795
Dy1 Dy 0.086 0.500 0.179
Er1 Er 0.000 0.000 0.000
Sc1 Sc 0.000 0.500 0.500
```

***

(3)
Entry from Alexandria via LeMat-Bulk: a geometry-optimized NaGa2Fe structure (PBE).

Total magnetization, μB per formula unit: 1.5
ΔH_f (0 K), kJ per mole of atoms: 36.7

Structure (CIF):
```
data_NaGa2Fe
_symmetry_space_group_name_H-M 'I -4 2 d'
_symmetry_Int_Tables_number 122
_symmetry_space_group_name_Hall 'I -4 2bw'
_cell_length_a 5.208
_cell_length_b 5.208
_cell_length_c 15.512
_cell_angle_alpha 90.00
_cell_angle_beta 90.00
_cell_angle_gamma 90.00
loop_
_atom_site_label
_atom_site_type_symbol
_atom_site_fract_x
_atom_site_fract_y
_atom_site_fract_z
Na1 Na 0.000 0.000 0.000
Ga1 Ga 0.005 0.750 0.625
Fe1 Fe 0.000 0.000 0.500
```

***

(4)
Entry from Alexandria via LeMat-Bulk: a geometry-optimized Na3MnH8 structure (PBE).

Electronic total energy, eV/atom: -3.3456
Total magnetization, μB per formula unit: 0.1

Structure (CIF):
```
data_Na3MnH8
_symmetry_space_group_name_H-M 'I 4/m m m'
_symmetry_Int_Tables_number 139
_symmetry_space_group_name_Hall '-I 4 2'
_cell_length_a 5.076
_cell_length_b 5.076
_cell_length_c 8.671
_cell_angle_alpha 90.00
_cell_angle_beta 90.00
_cell_angle_gamma 90.00
loop_
_atom_site_label
_atom_site_type_symbol
_atom_site_fract_x
_atom_site_fract_y
_atom_site_fract_z
Na1 Na 0.000 0.000 0.000
Na2 Na 0.000 0.500 0.250
Mn1 Mn 0.000 0.000 0.500
H1 H 0.186 0.186 0.401
```

***

(5)
Entry from Alexandria via LeMat-Bulk: a geometry-optimized PaCuTe5Pb2 structure (PBE).

Total magnetization, μB per formula unit: 0.1
Uncorrected formation energy, eV/atom: -0.486

Structure (CIF):
```
data_PaCuTe5Pb2
_symmetry_space_group_name_H-M 'C m c 21'
_symmetry_Int_Tables_number 36
_cell_length_a 4.389
_cell_length_b 19.607
_cell_length_c 14.130
_cell_angle_alpha 90.00
_cell_angle_beta 90.00
_cell_angle_gamma 90.00
loop_
_symmetry_equiv_pos_as_xyz
'x,y,z'
'-x,-y,z+1/2'
'-x,y,z'
'x,-y,z+1/2'
'x+1/2,y+1/2,z'
'-x+1/2,-y+1/2,z+1/2'
'-x+1/2,y+1/2,z'
'x+1/2,-y+1/2,z+1/2'
loop_
_atom_site_label
_atom_site_type_symbol
_atom_site_fract_x
_atom_site_fract_y
_atom_site_fract_z
Pa1 Pa 0.000 0.204 0.000
Cu1 Cu 0.000 0.418 0.428
Te1 Te 0.000 0.051 0.023
Te2 Te 0.000 0.278 0.648
Te3 Te 0.000 0.297 0.356
Te4 Te 0.000 0.356 0.961
Te5 Te 0.000 0.479 0.260
Pb1 Pb 0.000 0.088 0.249
Pb2 Pb 0.000 0.113 0.611
```

***

(6)
Entry from Alexandria via LeMat-Bulk: a geometry-optimized LiMgZn2Au2 structure (PBE).

Total magnetization, μB per formula unit: 0.0
ΔH_f (0 K), kJ per mole of atoms: -41.2

Structure (CIF):
```
data_LiMgZn2Au2
_symmetry_space_group_name_H-M 'P -3 m 1'
_symmetry_Int_Tables_number 164
_symmetry_space_group_name_Hall '-P 3 2"'
_cell_length_a 4.5232
_cell_length_b 4.5232
_cell_length_c 5.5979
_cell_angle_alpha 90.00
_cell_angle_beta 90.00
_cell_angle_gamma 120.00
loop_
_atom_site_label
_atom_site_type_symbol
_atom_site_fract_x
_atom_site_fract_y
_atom_site_fract_z
Li1 Li 0.0000 0.0000 0.0000
Mg1 Mg 0.0000 0.0000 0.5000
Zn1 Zn 0.3333 0.6667 0.2031
Au1 Au 0.3333 0.6667 0.7220
```

***

(7)
Entry from Alexandria via LeMat-Bulk: a geometry-optimized Mo2Br3 structure (PBE).

Total magnetization, μB per formula unit: 1.0
Uncorrected formation energy, eV/atom: -0.076

Structure (CIF):
```
data_Mo2Br3
_symmetry_space_group_name_H-M 'C 1 c 1'
_symmetry_Int_Tables_number 9
_cell_length_a 7.296
_cell_length_b 25.106
_cell_length_c 3.512
_cell_angle_alpha 90.00
_cell_angle_beta 104.59
_cell_angle_gamma 90.00
loop_
_symmetry_equiv_pos_as_xyz
'x,y,z'
'x,-y,z+1/2'
'x+1/2,y+1/2,z'
'x+1/2,-y+1/2,z+1/2'
loop_
_atom_site_label
_atom_site_type_symbol
_atom_site_fract_x
_atom_site_fract_y
_atom_site_fract_z
Mo1 Mo 0.000 0.120 0.000
Mo2 Mo 0.014 0.188 0.421
Br1 Br 0.215 0.375 0.850
Br2 Br 0.232 0.075 0.611
Br3 Br 0.355 0.226 0.516
```

***

(8)
Entry from Alexandria via LeMat-Bulk: a geometry-optimized Zr2GaB structure (PBE).

Total magnetization, μB per formula unit: 0.0
ΔH_f (0 K), kJ per mole of atoms: -7.9

Structure (CIF):
```
data_Zr2GaB
_symmetry_space_group_name_H-M 'I -4 2 d'
_symmetry_Int_Tables_number 122
_symmetry_space_group_name_Hall 'I -4 2bw'
_cell_length_a 6.881
_cell_length_b 6.881
_cell_length_c 6.071
_cell_angle_alpha 90.00
_cell_angle_beta 90.00
_cell_angle_gamma 90.00
loop_
_atom_site_label
_atom_site_type_symbol
_atom_site_fract_x
_atom_site_fract_y
_atom_site_fract_z
Zr1 Zr 0.209 0.750 0.125
Ga1 Ga 0.000 0.000 0.500
B1 B 0.000 0.000 0.000
```

***

(9)
Entry from Alexandria via LeMat-Bulk: a geometry-optimized NdDy2Er3S6 structure (PBE).

Total magnetization, μB per formula unit: 0.0
Uncorrected formation energy, eV/atom: -1.978

Structure (CIF):
```
data_NdDy2Er3S6
_symmetry_space_group_name_H-M 'C 1 2/m 1'
_symmetry_Int_Tables_number 12
_cell_length_a 17.054
_cell_length_b 3.895
_cell_length_c 7.875
_cell_angle_alpha 90.00
_cell_angle_beta 103.67
_cell_angle_gamma 90.00
loop_
_symmetry_equiv_pos_as_xyz
'x,y,z'
'-x,-y,-z'
'-x,y,-z'
'x,-y,z'
'x+1/2,y+1/2,z'
'-x+1/2,-y+1/2,-z'
'-x+1/2,y+1/2,-z'
'x+1/2,-y+1/2,z'
loop_
_atom_site_label
_atom_site_type_symbol
_atom_site_fract_x
_atom_site_fract_y
_atom_site_fract_z
Nd1 Nd 0.000 0.000 0.000
Dy1 Dy 0.166 0.500 0.331
Er1 Er 0.000 0.000 0.500
Er2 Er 0.164 0.500 0.834
S1 S 0.000 0.500 0.263
S2 S 0.166 0.000 0.586
S3 S 0.172 0.000 0.083
```